Entry 1:
Pu4Ga5Ir2: relaxed, PBE-GGA.

abc: 7.0884 3.5914 9.2115
angles: 90.00 93.85 90.00
Space group P2/m (No. 10)
Inequivalent atoms, fractional coordinates:
1 Pu 0.1701 0.0000 0.3726 x2
2 Pu 0.2482 0.0000 0.9457 x2
3 Ga 0.1944 0.5000 0.6585 x2
4 Ga 0.4474 0.5000 0.1969 x2
5 Ga 0.5000 0.5000 0.5000 x1
6 Ir 0.0718 0.5000 0.1495 x2

Results
formation energy from the elements: -37.6 kJ per mole of atoms
Fermi-level density of states: 29.6 states/eV/cell
electronic total energy: -94.5 eV for the cell shown

Entry 2:
Pu8GaIr6: relaxed, PBE-GGA.

abc: 6.8451 6.8451 19.1567
angles: 90.00 90.00 120.00
Space group R-3 (No. 148, hexagonal axes)
Inequivalent atoms, fractional coordinates:
1 Pu 0.0000 0.0000 0.2457 x6
2 Pu 0.0062 0.3556 0.5323 x18
3 Ga 0.0000 0.0000 0.0000 x3
4 Ir 0.0367 0.7819 0.6312 x18

Results
formation energy from the elements: -5.8 kJ per mole of atoms
Fermi-level density of states: 70.6 states/eV/cell
electronic total energy: -515.3 eV for the cell shown

Entry 3:
PuGaIr: relaxed, PBE-GGA.

abc: 6.4283 6.4283 6.4283
angles: 90.00 90.00 90.00
Space group F-43m (No. 216)
Inequivalent atoms, fractional coordinates:
1 Pu 0.0000 0.0000 0.0000 x4
2 Ga 0.0000 0.0000 0.5000 x4
3 Ir 0.2500 0.2500 0.2500 x4

Results
formation energy from the elements: -36.1 kJ per mole of atoms
Fermi-level density of states: 36.3 states/eV/cell
electronic total energy: -109.4 eV for the cell shown

- Among the records above, which one has the lowest Fermi-level density of states?
  Pu4Ga5Ir2

- The highest electronic total energy belongs to which entry?
  Pu4Ga5Ir2

- What is the electronic total energy in the third record?
  -109.4 eV for the cell shown

- Among the records above, which one has the highest formation energy from the elements?
  Pu8GaIr6